{"formula": "KBeGa3", "functional": "PBE", "state": "optimized geometry", "cell": [[5.744, 0.000, 0.000], [0.000, 5.744, 0.000], [0.000, 0.000, 5.744]], "species": ["Be", "Ga", "Ga", "Ga", "K"], "fractional_positions": [[0.500, 0.500, 0.500], [0.000, 0.000, 0.500], [0.500, 0.000, 0.000], [0.000, 0.500, 0.000], [0.000, 0.000, 0.000]], "e_above_lowest_polymorph_ev_per_atom": 1.366, "sg": "Pm-3m", "e_form_ev_per_atom": 1.58}

{"formula": "TaAs2OsSe", "functional": "PBE", "state": "optimized geometry", "cell": [[4.637, 0.000, 0.000], [0.000, 4.637, 0.000], [0.000, 0.000, 5.234]], "species": ["Se", "Ta", "As", "As", "Os"], "fractional_positions": [[0.000, 0.000, 0.500], [0.500, 0.500, 0.500], [0.000, 0.500, 0.000], [0.500, 0.000, 0.000], [0.000, 0.000, 0.000]], "e_above_lowest_polymorph_ev_per_atom": 0.000, "sg": "P4/mmm", "e_form_raw_kcal_per_mol_atoms": 26.360}

{"formula": "SrAlAg2", "functional": "PBE", "state": "optimized geometry", "cell": [[-2.682, 2.912, -3.180], [-4.150, 2.414, 1.656], [0.043, 5.050, 0.533]], "species": ["Sr", "Ag", "Ag", "Al"], "fractional_positions": [[0.750, 0.750, 0.750], [0.000, 0.000, 0.000], [0.250, 0.250, 0.250], [0.500, 0.500, 0.500]], "sg": "F-43m", "e_form_ev_per_atom": 0.01}

{"formula": "BaSb2Pb", "functional": "PBE", "state": "optimized geometry", "cell": [[4.346, 0.004, 0.000], [-0.092, 4.345, 0.000], [0.000, 0.000, 7.148]], "species": ["Pb", "Sb", "Sb", "Ba"], "fractional_positions": [[0.500, 0.500, 0.803], [0.000, 0.000, 0.992], [0.500, 0.500, 0.222], [0.000, 0.000, 0.483]], "sg": "Cmm2", "e_form_raw_kcal_per_mol_atoms": -6.669}

{"formula": "TiCdPd3", "functional": "PBE", "state": "optimized geometry", "cell": [[4.867, 0.000, 0.000], [0.000, 4.867, 0.000], [0.000, 0.000, 4.867]], "species": ["Ti", "Cd", "Pd", "Pd", "Pd"], "fractional_positions": [[0.500, 0.500, 0.500], [0.000, 0.000, 0.000], [0.000, 0.000, 0.500], [0.500, 0.000, 0.000], [0.000, 0.500, 0.000]], "e_above_lowest_polymorph_ev_per_atom": 1.404, "sg": "Pm-3m", "e_form_ev_per_atom": 0.96}

Copy entry 3 word for word.
{"formula": "SrAlAg2", "functional": "PBE", "state": "optimized geometry", "cell": [[-2.682, 2.912, -3.180], [-4.150, 2.414, 1.656], [0.043, 5.050, 0.533]], "species": ["Sr", "Ag", "Ag", "Al"], "fractional_positions": [[0.750, 0.750, 0.750], [0.000, 0.000, 0.000], [0.250, 0.250, 0.250], [0.500, 0.500, 0.500]], "sg": "F-43m", "e_form_ev_per_atom": 0.01}

What did the first record say?
{"formula": "KBeGa3", "functional": "PBE", "state": "optimized geometry", "cell": [[5.744, 0.000, 0.000], [0.000, 5.744, 0.000], [0.000, 0.000, 5.744]], "species": ["Be", "Ga", "Ga", "Ga", "K"], "fractional_positions": [[0.500, 0.500, 0.500], [0.000, 0.000, 0.500], [0.500, 0.000, 0.000], [0.000, 0.500, 0.000], [0.000, 0.000, 0.000]], "e_above_lowest_polymorph_ev_per_atom": 1.366, "sg": "Pm-3m", "e_form_ev_per_atom": 1.58}